# 1
FeIrW2 | PBE-GGA | relaxed

For the formation energy, the calculation gives -0.02 eV per atom. Its spin magnetization is 0.7 μB per formula unit. The calculation puts the energy at -10.827 eV per atom. The density of states at the Fermi level is 3.961 states/eV/cell.

It has space group Pmm2 (No. 25), with a = 2.751 Å, b = 4.417 Å, c = 4.755 Å, α = 90.00°, β = 90.00° and γ = 90.00°. The asymmetric unit holds Fe at (0.000, 0.000, 0.000), Ir at (0.000, 0.500, 0.642), W at (0.500, 0.000, 0.486) and W at (0.500, 0.500, 0.128).

=====

# 2
ZnNCl3 | PBE-GGA | relaxed

The formation energy (no corrections) comes out at 4.0 eV/f.u. Its spin magnetization is 0.0 μB per formula unit. The calculation puts the energy at -2.220 eV per atom. The density of states at the Fermi level is 2.174 states/eV/cell.

It has space group Pm-3m (No. 221), with a = 4.450 Å, b = 4.450 Å, c = 4.450 Å, α = 90.00°, β = 90.00° and γ = 90.00°. The asymmetric unit holds Zn at (0.000, 0.000, 0.000), N at (0.500, 0.500, 0.500) and Cl at (0.000, 0.500, 0.500).

=====

no.,offset from the most stable computed form (kJ/mol of formula units)
1,14
2,422